No. 1
A plane-wave DFT calculation with PBE was carried out for a relaxed Mn2CuCl crystal.

Computed properties:
ΔE_f (raw) = 1193 meV per atom
spin magnetization = 0.0000 μB/atom
energy = -4.878 eV per atom
symmetry = I-42d (122)
N(E_F) = 4.393 states/eV per cell
energy relative to the lowest polymorph listed for this composition = 1112 meV per atom

Cell lengths 5.070, 5.070, 6.219 Å; angles 65.94, 65.94, 90.00 degrees
Sites, in units of the cell vectors:
Mn 0.591 0.125 0.250
Mn 0.159 0.625 0.250
Mn 0.375 0.409 0.750
Mn 0.875 0.841 0.750
Cu 0.000 0.000 0.000
Cu 0.750 0.250 0.500
Cl 0.500 0.500 0.000
Cl 0.250 0.750 0.500


No. 2
A plane-wave DFT calculation with PBE was carried out for a relaxed MnCu3Cl9 crystal.

Computed properties:
ΔE_f (raw) = -578 meV per atom
spin magnetization = 0.0713 μB/atom
energy = -3.507 eV per atom
symmetry = Cc (9)
N(E_F) = 20.308 states/eV per cell

Cell lengths 9.459, 9.459, 11.777 Å; angles 57.37, 57.37, 54.87 degrees
Sites, in units of the cell vectors:
Mn 0.530 0.974 0.995
Mn 0.974 0.530 0.495
Cu 0.047 0.200 0.323
Cu 0.200 0.047 0.823
Cu 0.763 0.006 0.163
Cu 0.006 0.763 0.663
Cu 0.532 0.441 0.268
Cu 0.441 0.532 0.768
Cl 0.848 0.639 0.681
Cl 0.639 0.848 0.181
Cl 0.537 0.691 0.064
Cl 0.691 0.537 0.564
Cl 0.890 0.830 0.344
Cl 0.830 0.890 0.844
Cl 0.541 0.248 0.932
Cl 0.248 0.541 0.432
Cl 0.085 0.225 0.638
Cl 0.225 0.085 0.138
Cl 0.074 0.437 0.309
Cl 0.437 0.074 0.809
Cl 0.233 0.516 0.745
Cl 0.516 0.233 0.245
Cl 0.746 0.308 0.364
Cl 0.308 0.746 0.864
Cl 0.946 0.151 0.996
Cl 0.151 0.946 0.496


No. 3
A plane-wave DFT calculation with PBE was carried out for a relaxed MnCu5Cl12 crystal.

Computed properties:
ΔE_f (raw) = -598 meV per atom
spin magnetization = 0.4448 μB/atom
energy = -3.476 eV per atom
symmetry = C2/m (12)
N(E_F) = 7.789 states/eV per cell

Cell lengths 7.251, 6.181, 12.718 Å; angles 97.52, 102.89, 54.09 degrees
Sites, in units of the cell vectors:
Mn 0.000 0.000 0.000
Cu 0.500 0.000 0.500
Cu 0.167 0.666 0.500
Cu 0.833 0.334 0.500
Cu 0.663 0.674 0.000
Cu 0.337 0.326 0.000
Cl 0.852 0.000 0.389
Cl 0.148 0.000 0.611
Cl 0.615 0.000 0.902
Cl 0.385 0.000 0.098
Cl 0.215 0.675 0.885
Cl 0.110 0.675 0.115
Cl 0.890 0.325 0.885
Cl 0.785 0.325 0.115
Cl 0.480 0.333 0.611
Cl 0.814 0.667 0.611
Cl 0.186 0.333 0.389
Cl 0.520 0.667 0.389


No. 4
A plane-wave DFT calculation with PBE was carried out for a relaxed Mn3Cu2Cl8 crystal.

Computed properties:
ΔE_f (raw) = -856 meV per atom
spin magnetization = 1.1472 μB/atom
energy = -4.739 eV per atom
symmetry = Cmce (64)

Cell lengths 7.472, 8.196, 10.398 Å; angles 90.00, 90.00, 117.12 degrees
Sites, in units of the cell vectors:
Mn 0.611 0.722 0.250
Mn 0.500 0.000 0.500
Mn 0.889 0.278 0.750
Mn 0.111 0.722 0.250
Mn 0.000 0.000 0.000
Mn 0.389 0.278 0.750
Cu 0.622 0.244 0.110
Cu 0.878 0.756 0.610
Cu 0.122 0.244 0.390
Cu 0.378 0.756 0.890
Cl 0.638 0.757 0.010
Cl 0.619 0.757 0.490
Cl 0.008 0.016 0.753
Cl 0.752 0.504 0.751
Cl 0.492 0.984 0.253
Cl 0.748 0.496 0.251
Cl 0.138 0.757 0.490
Cl 0.881 0.243 0.990
Cl 0.119 0.757 0.010
Cl 0.862 0.243 0.510
Cl 0.992 0.984 0.247
Cl 0.508 0.016 0.747
Cl 0.248 0.496 0.249
Cl 0.252 0.504 0.749
Cl 0.381 0.243 0.510
Cl 0.362 0.243 0.990


No. 5
A plane-wave DFT calculation with PBE was carried out for a relaxed Mn2CuCl crystal.

Computed properties:
ΔE_f (raw) = 369 meV per atom
spin magnetization = 2.1435 μB/atom
energy = -5.702 eV per atom
symmetry = Cmmm (65)
N(E_F) = 2.959 states/eV per cell
energy relative to the lowest polymorph listed for this composition = 288 meV per atom

Cell lengths 6.646, 4.668, 2.948 Å; angles 89.96, 63.74, 124.90 degrees
Sites, in units of the cell vectors:
Mn 0.000 0.000 0.000
Mn 0.500 0.000 0.500
Cu 0.500 0.500 0.000
Cl 0.000 0.500 0.500


No. 6
A plane-wave DFT calculation with PBE was carried out for a relaxed Mn5CuCl12 crystal.

Computed properties:
ΔE_f (raw) = -976 meV per atom
spin magnetization = 1.3952 μB/atom
energy = -4.982 eV per atom
symmetry = C2/m (12)
N(E_F) = 13.251 states/eV per cell

Cell lengths 6.502, 6.309, 13.024 Å; angles 89.09, 88.23, 58.98 degrees
Sites, in units of the cell vectors:
Mn 0.500 0.000 0.500
Mn 0.167 0.667 0.500
Mn 0.833 0.333 0.500
Mn 0.665 0.670 0.000
Mn 0.335 0.330 0.000
Cu 0.000 0.000 0.000
Cl 0.841 0.000 0.393
Cl 0.159 0.000 0.607
Cl 0.641 0.000 0.889
Cl 0.359 0.000 0.111
Cl 0.320 0.674 0.898
Cl 0.006 0.674 0.102
Cl 0.994 0.326 0.898
Cl 0.680 0.326 0.102
Cl 0.492 0.334 0.608
Cl 0.826 0.666 0.608
Cl 0.174 0.334 0.392
Cl 0.508 0.666 0.392


No. 7
A plane-wave DFT calculation with PBE was carried out for a relaxed Mn2CuCl crystal.

Computed properties:
ΔE_f (raw) = 446 meV per atom
spin magnetization = 2.0931 μB/atom
energy = -5.625 eV per atom
symmetry = Pmmm (47)
N(E_F) = 2.573 states/eV per cell
energy relative to the lowest polymorph listed for this composition = 365 meV per atom

Cell lengths 3.125, 5.228, 4.054 Å; angles 90.00, 90.00, 90.00 degrees
Sites, in units of the cell vectors:
Mn 0.000 0.000 0.000
Mn 0.500 0.500 0.000
Cu 0.000 0.500 0.500
Cl 0.500 0.000 0.500


No. 8
A plane-wave DFT calculation with PBE was carried out for a relaxed Mn2CuCl crystal.

Computed properties:
ΔE_f (raw) = 201 meV per atom
spin magnetization = 2.0744 μB/atom
energy = -5.869 eV per atom
symmetry = P4/mmm (123)
N(E_F) = 2.810 states/eV per cell
energy relative to the lowest polymorph listed for this composition = 120 meV per atom

Cell lengths 3.019, 3.019, 7.007 Å; angles 90.00, 90.00, 90.01 degrees
Sites, in units of the cell vectors:
Mn 0.000 0.000 0.968
Mn 0.000 0.000 0.532
Cu 0.500 0.500 0.750
Cl 0.500 0.500 0.250


No. 9
A plane-wave DFT calculation with PBE was carried out for a relaxed NaMnCuCl6 crystal.

Computed properties:
ΔE_f (raw) = -949 meV per atom
spin magnetization = 0.4255 μB/atom
energy = -3.801 eV per atom
symmetry = P312 (149)
N(E_F) = 10.142 states/eV per cell

Cell lengths 6.155, 6.288, 6.288 Å; angles 120.00, 90.00, 90.00 degrees
Sites, in units of the cell vectors:
Na 0.000 0.333 0.667
Mn 0.500 0.000 0.000
Cu 0.500 0.667 0.333
Cl 0.719 0.709 0.682
Cl 0.719 0.318 0.027
Cl 0.719 0.973 0.291
Cl 0.281 0.318 0.291
Cl 0.281 0.709 0.027
Cl 0.281 0.973 0.682


No. 10
A plane-wave DFT calculation with PBE was carried out for a relaxed NaMn2CuCl6 crystal.

Computed properties:
ΔE_f (raw) = -1067 meV per atom
spin magnetization = 0.9958 μB/atom
energy = -4.551 eV per atom
symmetry = C2/c (15)

Cell lengths 7.058, 9.041, 9.041 Å; angles 87.85, 74.82, 74.82 degrees
Sites, in units of the cell vectors:
Na 0.250 0.894 0.106
Na 0.750 0.106 0.894
Mn 0.295 0.767 0.600
Mn 0.205 0.400 0.233
Mn 0.705 0.233 0.400
Mn 0.795 0.600 0.767
Cu 0.250 0.204 0.796
Cu 0.750 0.796 0.204
Cl 0.163 0.955 0.802
Cl 0.337 0.198 0.045
Cl 0.837 0.045 0.198
Cl 0.663 0.802 0.955
Cl 0.432 0.864 0.362
Cl 0.068 0.638 0.136
Cl 0.568 0.136 0.638
Cl 0.932 0.362 0.864
Cl 0.007 0.697 0.559
Cl 0.493 0.441 0.303
Cl 0.993 0.303 0.441
Cl 0.507 0.559 0.697


No. 11
A plane-wave DFT calculation with PBE was carried out for a relaxed NaMnCu2Cl8 crystal.

Computed properties:
ΔE_f (raw) = -674 meV per atom
spin magnetization = 0.4517 μB/atom
energy = -3.462 eV per atom
symmetry = I-4m2 (119)
N(E_F) = 8.543 states/eV per cell

Cell lengths 7.183, 7.183, 7.183 Å; angles 108.62, 108.62, 111.18 degrees
Sites, in units of the cell vectors:
Na 0.000 0.000 0.000
Mn 0.250 0.750 0.500
Cu 0.750 0.250 0.500
Cu 0.500 0.500 0.000
Cl 0.372 0.054 0.318
Cl 0.316 0.525 0.208
Cl 0.316 0.108 0.792
Cl 0.735 0.054 0.682
Cl 0.892 0.684 0.208
Cl 0.946 0.265 0.318
Cl 0.946 0.628 0.682
Cl 0.475 0.684 0.792


No. 12
A plane-wave DFT calculation with PBE was carried out for a relaxed NaMn2CuCl8 crystal.

Computed properties:
ΔE_f (raw) = -943 meV per atom
spin magnetization = 0.6667 μB/atom
energy = -4.153 eV per atom
symmetry = P-3 (147)
N(E_F) = 0.885 states/eV per cell

Cell lengths 7.153, 7.153, 7.448 Å; angles 90.00, 90.00, 120.00 degrees
Sites, in units of the cell vectors:
Na 0.000 0.000 0.000
Mn 0.667 0.333 0.216
Mn 0.333 0.667 0.784
Cu 0.000 0.000 0.500
Cl 0.333 0.667 0.076
Cl 0.313 0.168 0.301
Cl 0.832 0.145 0.301
Cl 0.667 0.333 0.924
Cl 0.168 0.855 0.699
Cl 0.687 0.832 0.699
Cl 0.145 0.313 0.699
Cl 0.855 0.687 0.301


No. 13
A plane-wave DFT calculation with PBE was carried out for a relaxed NaMnCuCl5 crystal.

Computed properties:
ΔE_f (raw) = -1001 meV per atom
spin magnetization = 0.4968 μB/atom
energy = -3.978 eV per atom
symmetry = C2/c (15)
N(E_F) = 6.492 states/eV per cell

Cell lengths 6.489, 6.489, 11.927 Å; angles 108.29, 108.29, 103.31 degrees
Sites, in units of the cell vectors:
Na 0.000 0.000 0.500
Na 0.000 0.000 0.000
Mn 0.353 0.647 0.250
Mn 0.647 0.353 0.750
Cu 0.686 0.314 0.250
Cu 0.314 0.686 0.750
Cl 0.133 0.867 0.250
Cl 0.867 0.133 0.750
Cl 0.029 0.346 0.224
Cl 0.971 0.654 0.776
Cl 0.654 0.971 0.276
Cl 0.346 0.029 0.724
Cl 0.642 0.589 0.413
Cl 0.358 0.411 0.587
Cl 0.411 0.358 0.087
Cl 0.589 0.642 0.913


No. 14
A plane-wave DFT calculation with PBE was carried out for a relaxed MnCuPCl2 crystal.

Computed properties:
ΔE_f (raw) = 349 meV per atom
spin magnetization = 0.8147 μB/atom
energy = -4.124 eV per atom
symmetry = P4/mmm (123)
N(E_F) = 3.857 states/eV per cell
energy relative to the lowest polymorph listed for this composition = 117 meV per atom

Cell lengths 4.561, 4.561, 4.935 Å; angles 90.00, 90.00, 90.00 degrees
Sites, in units of the cell vectors:
P 0.000 0.000 0.500
Mn 0.500 0.500 0.500
Cu 0.000 0.000 0.000
Cl 0.000 0.500 0.000
Cl 0.500 0.000 0.000


No. 15
A plane-wave DFT calculation with PBE was carried out for a relaxed MnCuP2Cl crystal.

Computed properties:
ΔE_f (raw) = 489 meV per atom
spin magnetization = 0.0105 μB/atom
energy = -4.697 eV per atom
symmetry = P4/mmm (123)
N(E_F) = 4.771 states/eV per cell
energy relative to the lowest polymorph listed for this composition = 0 meV per atom

Cell lengths 4.238, 4.238, 5.106 Å; angles 90.00, 90.00, 90.00 degrees
Sites, in units of the cell vectors:
P 0.000 0.500 0.000
P 0.500 0.000 0.000
Mn 0.000 0.000 0.000
Cu 0.500 0.500 0.500
Cl 0.000 0.000 0.500


No. 16
A plane-wave DFT calculation with PBE was carried out for a relaxed MnCuPCl2 crystal.

Computed properties:
ΔE_f (raw) = 232 meV per atom
spin magnetization = 0.6046 μB/atom
energy = -4.242 eV per atom
symmetry = P4/mmm (123)
N(E_F) = 1.339 states/eV per cell
energy relative to the lowest polymorph listed for this composition = 0 meV per atom

Cell lengths 4.628, 4.628, 4.869 Å; angles 90.00, 90.00, 90.00 degrees
Sites, in units of the cell vectors:
P 0.000 0.000 0.500
Mn 0.000 0.000 0.000
Cu 0.500 0.500 0.500
Cl 0.000 0.500 0.000
Cl 0.500 0.000 0.000


No. 17
A plane-wave DFT calculation with PBE was carried out for a relaxed MnCuP2Cl crystal.

Computed properties:
ΔE_f (raw) = 1176 meV per atom
spin magnetization = 0.0810 μB/atom
energy = -4.010 eV per atom
symmetry = P4/mmm (123)
N(E_F) = 4.415 states/eV per cell
energy relative to the lowest polymorph listed for this composition = 687 meV per atom

Cell lengths 4.369, 4.369, 4.990 Å; angles 90.00, 90.00, 90.00 degrees
Sites, in units of the cell vectors:
P 0.000 0.500 0.000
P 0.500 0.000 0.000
Mn 0.500 0.500 0.500
Cu 0.000 0.000 0.000
Cl 0.000 0.000 0.500


No. 18
A plane-wave DFT calculation with PBE was carried out for a relaxed MnCu2PbCl6 crystal.

Computed properties:
ΔE_f (raw) = -813 meV per atom
spin magnetization = 0.4880 μB/atom
energy = -4.028 eV per atom
symmetry = R-3 (148)

Cell lengths 6.662, 6.660, 7.509 Å; angles 90.00, 116.36, 120.02 degrees
Sites, in units of the cell vectors:
Mn 0.996 0.498 0.480
Cu 0.516 0.757 0.260
Cu 0.477 0.238 0.701
Pb 0.996 0.998 0.980
Cl 0.453 0.891 0.711
Cl 0.540 0.104 0.250
Cl 0.830 0.724 0.250
Cl 0.159 0.434 0.250
Cl 0.834 0.561 0.711
Cl 0.163 0.272 0.711


No. 19
A plane-wave DFT calculation with PBE was carried out for a relaxed MnCu2PbCl8 crystal.

Computed properties:
ΔE_f (raw) = -806 meV per atom
spin magnetization = 0.2455 μB/atom
energy = -3.793 eV per atom
symmetry = P-1 (2)
N(E_F) = 5.947 states/eV per cell

Cell lengths 6.336, 6.752, 8.130 Å; angles 68.90, 89.24, 98.79 degrees
Sites, in units of the cell vectors:
Mn 0.000 0.000 0.000
Cu 0.526 0.331 0.689
Cu 0.474 0.669 0.311
Pb 0.000 0.000 0.500
Cl 0.142 0.770 0.282
Cl 0.684 0.751 0.064
Cl 0.863 0.190 0.147
Cl 0.858 0.230 0.718
Cl 0.316 0.249 0.936
Cl 0.137 0.810 0.853
Cl 0.584 0.714 0.568
Cl 0.416 0.286 0.432


No. 20
A plane-wave DFT calculation with PBE was carried out for a relaxed Mn2CuPtCl crystal.

Computed properties:
ΔE_f (raw) = 845 meV per atom
spin magnetization = 1.8485 μB/atom
energy = -5.220 eV per atom
symmetry = P4/mmm (123)
N(E_F) = 2.714 states/eV per cell

Cell lengths 4.961, 4.870, 4.961 Å; angles 90.00, 90.00, 90.00 degrees
Sites, in units of the cell vectors:
Mn 0.000 0.000 0.500
Mn 0.500 0.000 0.000
Cu 0.500 0.500 0.500
Pt 0.000 0.000 0.000
Cl 0.000 0.500 0.000